<one>
Here is a relaxed structure of SrReNi from the Alexandria database. Energies are from GGA-PBE.

a b c (Å): 4.719 4.719 4.719
angles (deg): 60.00 60.00 60.00
Site moments in Bohr magnetons follow the coordinates.
Atoms (fractional coordinates):
Ni 0.000 0.000 0.000  0.54
Re 0.500 0.500 0.500  2.56
Sr 0.750 0.750 0.750  0.05

Summary:
Its density of states at the Fermi level is 2.38 states/eV/cell. Its space group is No. 216. The spin magnetization is 3.43 μB/f.u.


<two>
Here is a relaxed structure of SrReNi from the Alexandria database. Energies are from GGA-PBE.

a b c (Å): 4.568 4.568 4.568
angles (deg): 60.00 60.00 60.00
Site moments in Bohr magnetons follow the coordinates.
Atoms (fractional coordinates):
Ni 0.750 0.750 0.750  0.72
Re 0.000 0.000 0.000  2.25
Sr 0.500 0.500 0.500  0.01

Summary:
Its density of states at the Fermi level is 2.63 states/eV/cell. Its space group is No. 216. The spin magnetization is 3.28 μB/f.u.


<three>
Here is a relaxed structure of SrReNi from the Alexandria database. Energies are from GGA-PBE.

a b c (Å): 6.548 6.548 3.044
angles (deg): 76.56 76.56 26.88
Atoms (fractional coordinates):
Ni 0.968 0.968 0.032
Re 0.368 0.368 0.632
Sr 0.665 0.665 0.335

Summary:
Its density of states at the Fermi level is 2.42 states/eV/cell. Its space group is No. 107. The spin magnetization is 0.00 μB/f.u.


Tell me which of them is the least stable. Sure, it is <one>.